(1)
The following is a DFT calculation (PBE) of Tb5Nd4Dy after structural relaxation.

Calculated values
- formation energy (meV per atom) = 235.8
- spin magnetization (μB per formula unit) = 0.0
- excess energy over the best structure of this formula in the dataset (eV per atom) = 0.0126

```
data_Tb5Nd4Dy
_chemical_formula_sum 'Tb10 Nd8 Dy2'
_cell_length_a 10.675
_cell_length_b 10.675
_cell_length_c 6.024
_cell_angle_alpha 90.00
_cell_angle_beta 90.00
_cell_angle_gamma 90.00
_symmetry_space_group_name_H-M 'I 4 m m'
_symmetry_Int_Tables_number 107
_symmetry_space_group_name_Hall 'I 4 -2'
loop_
_atom_site_label
_atom_site_fract_x
_atom_site_fract_y
_atom_site_fract_z
Tb1 0.000 0.000 0.000
Tb2 0.189 0.189 0.735
Nd1 0.000 0.324 0.243
Dy1 0.000 0.000 0.473
```

(2)
The following is a DFT calculation (PBE) of HoEr4Tm after structural relaxation.

Calculated values
- formation energy (meV per atom) = 157.5
- spin magnetization (μB per formula unit) = 0.0
- excess energy over the best structure of this formula in the dataset (eV per atom) = 0.0000

```
data_HoEr4Tm
_chemical_formula_sum 'Ho4 Er16 Tm4'
_cell_length_a 8.678
_cell_length_b 14.548
_cell_length_c 6.365
_cell_angle_alpha 90.00
_cell_angle_beta 111.94
_cell_angle_gamma 90.00
_symmetry_space_group_name_H-M 'C 1 2/c 1'
_symmetry_Int_Tables_number 15
loop_
_symmetry_equiv_pos_as_xyz
'x,y,z'
'-x,-y,-z'
'-x,y,-z+1/2'
'x,-y,z+1/2'
'x+1/2,y+1/2,z'
'-x+1/2,-y+1/2,-z'
'-x+1/2,y+1/2,-z+1/2'
'x+1/2,-y+1/2,z+1/2'
loop_
_atom_site_label
_atom_site_fract_x
_atom_site_fract_y
_atom_site_fract_z
Ho1 0.000 0.004 0.250
Er1 0.092 0.198 0.541
Er2 0.201 0.375 0.881
Tm1 0.000 0.413 0.250
```